Entry 1:
Computed, not measured: a relaxed TePtAuO6 crystal at the PBE level of DFT.

Geometry as CIF:
```
data_TePtAuO6
_chemical_formula_sum 'Te2 Pt2 Au2 O12'
_cell_length_a 5.301
_cell_length_b 5.301
_cell_length_c 9.709
_cell_angle_alpha 90.00
_cell_angle_beta 90.00
_cell_angle_gamma 120.00
_symmetry_space_group_name_H-M 'P 1'
_symmetry_Int_Tables_number 1
loop_
_symmetry_equiv_pos_as_xyz
'x,y,z'
loop_
_atom_site_label
_atom_site_type_symbol
_atom_site_fract_x
_atom_site_fract_y
_atom_site_fract_z
_atom_site_occupancy
Te1 Te 0.333 0.667 0.250 1
Te2 Te 0.667 0.333 0.750 1
Pt1 Pt 0.333 0.667 0.750 1
Pt2 Pt 0.667 0.333 0.250 1
Au1 Au 0.000 0.000 0.000 1
Au2 Au 0.000 0.000 0.500 1
O1 O 0.004 0.367 0.137 1
O2 O 0.004 0.638 0.363 1
O3 O 0.362 0.367 0.363 1
O4 O 0.362 0.996 0.137 1
O5 O 0.367 0.004 0.637 1
O6 O 0.367 0.362 0.863 1
O7 O 0.633 0.638 0.137 1
O8 O 0.633 0.996 0.363 1
O9 O 0.638 0.004 0.863 1
O10 O 0.638 0.633 0.637 1
O11 O 0.996 0.362 0.637 1
O12 O 0.996 0.633 0.863 1
```

- Calculated total energy: -5.17 eV per atom
- SG: P-31c, No. 163

***

Entry 2:
Computed, not measured: a relaxed YPtAu2O crystal at the PBE level of DFT.

Geometry as CIF:
```
data_YPtAu2O
_chemical_formula_sum 'Y1 Pt1 Au2 O1'
_cell_length_a 5.282
_cell_length_b 5.282
_cell_length_c 3.778
_cell_angle_alpha 90.00
_cell_angle_beta 90.00
_cell_angle_gamma 90.00
_symmetry_space_group_name_H-M 'P 1'
_symmetry_Int_Tables_number 1
loop_
_symmetry_equiv_pos_as_xyz
'x,y,z'
loop_
_atom_site_label
_atom_site_type_symbol
_atom_site_fract_x
_atom_site_fract_y
_atom_site_fract_z
_atom_site_occupancy
Y1 Y 0.000 0.000 0.000 1
Pt1 Pt 0.500 0.500 0.500 1
Au1 Au 0.000 0.500 0.500 1
Au2 Au 0.500 0.000 0.500 1
O1 O 0.500 0.500 0.000 1
```

- Calculated total energy: -5.03 eV per atom
- SG: P4/mmm, No. 123

***

Entry 3:
Computed, not measured: a relaxed PuAuO crystal at the PBE level of DFT.

Geometry as CIF:
```
data_PuAuO
_chemical_formula_sum 'Pu2 Au2 O2'
_cell_length_a 3.912
_cell_length_b 3.912
_cell_length_c 7.284
_cell_angle_alpha 90.00
_cell_angle_beta 90.00
_cell_angle_gamma 90.00
_symmetry_space_group_name_H-M 'P 1'
_symmetry_Int_Tables_number 1
loop_
_symmetry_equiv_pos_as_xyz
'x,y,z'
loop_
_atom_site_label
_atom_site_type_symbol
_atom_site_fract_x
_atom_site_fract_y
_atom_site_fract_z
_atom_site_occupancy
Pu1 Pu 0.250 0.250 0.162 1
Pu2 Pu 0.750 0.750 0.838 1
Au1 Au 0.250 0.250 0.590 1
Au2 Au 0.750 0.750 0.410 1
O1 O 0.250 0.750 0.000 1
O2 O 0.750 0.250 0.000 1
```

- Energy above the lowest structure with this stoichiometry: 0.0000 eV/atom
- Calculated total energy: -9.40 eV per atom
- SG: P4/nmm, No. 129